KGe2Pb2 after structural relaxation. Source: Alexandria, functional PBE.

The space group is P4/mbm (No. 127) and the conventional cell measures 8.617, 8.617 and 4.131 Å, with angles of 90.00, 90.00 and 90.00 degrees. The asymmetric unit holds K at (0.000, 0.000, 0.000), Ge at (0.109, 0.391, 0.000) and Pb at (0.148, 0.648, 0.500).

Its formation energy is 0.02 eV per atom. The volume is 306.7 Å³ per cell. Its density of states at the Fermi level is 4.04 states/eV/cell. The crystal system is tetragonal.